# 1
Below is an optimized crystal structure of CaYNi, with properties calculated at the GGA-PBE level.

Cell lengths 3.797, 4.045, 10.803 Å; angles 90.00, 100.06, 90.00 degrees
Positions (direct):
Ca  0.185  0.250  0.370
Ca  0.815  0.750  0.630
Y  0.432  0.250  0.864
Y  0.568  0.750  0.136
Ni  0.036  0.250  0.072
Ni  0.964  0.750  0.928

## Properties
For the formation energy, the calculation gives -267 meV per atom. Its symmetry is No. 11. The value obtained for the total magnetic moment is 0.0 μB/f.u. Its calculated volume is 27.2 Å³/atom.

***

# 2
Below is an optimized crystal structure of CaYNi, with properties calculated at the GGA-PBE level.

Cell lengths 4.915, 4.923, 12.771 Å; angles 90.00, 90.00, 90.00 degrees
Positions (direct):
Ca  0.000  0.000  0.000
Ca  0.000  0.500  0.500
Ca  0.500  0.000  0.500
Ca  0.500  0.500  0.000
Y  0.000  0.000  0.744
Y  0.000  0.500  0.244
Y  0.500  0.000  0.244
Y  0.500  0.500  0.744
Ni  0.000  0.000  0.354
Ni  0.000  0.500  0.854
Ni  0.500  0.000  0.854
Ni  0.500  0.500  0.354

## Properties
For the formation energy, the calculation gives -146 meV per atom. Its symmetry is No. 42. The value obtained for the total magnetic moment is 0.0 μB/f.u. Its calculated volume is 25.8 Å³/atom.